# 1
# GGA-PBE Ta2BrCl, optimized geometry
# Energy above the most stable polymorph in this dataset = 3.48 eV per formula unit
# Crystal system = monoclinic
# E = -6.35 eV per atom
# ΔE_f (raw) = 454 meV per atom
data_Ta2BrCl
_space_group_name_H-M_alt 'P 1 2/m 1'
_space_group_IT_number 10
_cell_length_a 3.581
_cell_length_b 4.443
_cell_length_c 5.062
_cell_angle_alpha 90.00
_cell_angle_beta 91.39
_cell_angle_gamma 90.00
loop_
_space_group_symop_operation_xyz
'x,y,z'
'-x,-y,-z'
'-x,y,-z'
'x,-y,z'
loop_
_atom_site_label
_atom_site_type_symbol
_atom_site_fract_x
_atom_site_fract_y
_atom_site_fract_z
Ta1 Ta 0.227 0.000 0.302
Br1 Br 0.000 0.500 0.000
Cl1 Cl 0.500 0.500 0.500

# 2
# GGA-PBE Ta2BrCl, optimized geometry
# Energy above the most stable polymorph in this dataset = 0.00 eV per formula unit
# Crystal system = monoclinic
# E = -7.22 eV per atom
# ΔE_f (raw) = -415 meV per atom
data_Ta2BrCl
_space_group_name_H-M_alt 'P 1 m 1'
_space_group_IT_number 6
_cell_length_a 3.433
_cell_length_b 3.102
_cell_length_c 9.471
_cell_angle_alpha 90.00
_cell_angle_beta 92.00
_cell_angle_gamma 90.00
loop_
_space_group_symop_operation_xyz
'x,y,z'
'x,-y,z'
loop_
_atom_site_label
_atom_site_type_symbol
_atom_site_fract_x
_atom_site_fract_y
_atom_site_fract_z
Ta1 Ta 0.000 0.000 0.000
Ta2 Ta 0.483 0.500 0.819
Br1 Br 0.021 0.500 0.223
Cl1 Cl 0.464 0.000 0.614

Look up the ΔE_f (raw) of the first one. 454 meV per atom